Below is a relaxed structure of YTlCdS3, with properties calculated at the PBE-GGA level.

The excess energy over the best structure of this formula in the dataset comes out at 14 meV/atom.

It has space group C2/m (No. 12), with a = 17.017 Å, b = 4.046 Å, c = 9.072 Å, α = 90.00°, β = 103.59° and γ = 90.00°. The distinct sites, in fractional coordinates, are Y at (0.171, 0.000, 0.090), Tl at (0.142, 0.000, 0.561), Cd at (0.002, 0.500, 0.215), S at (0.000, 0.000, 0.000), S at (0.000, 0.500, 0.500), S at (0.161, 0.500, 0.283) and S at (0.165, 0.500, 0.875).